Arrangement i

First-principles (PBE) data for SrBeGaAu after structural relaxation, as listed in the Open Quantum Materials Database.

Cell lengths 6.9287, 6.9287, 6.9287 Å; angles 90.00, 90.00, 90.00 degrees
Closest atoms and distances in Å follow each position.
Space group F-43m (No. 216)
Asymmetric unit:
Sr  0.0000  0.0000  0.0000  4 Au 3.00, 4 Ga 3.00
Be  0.0000  0.0000  0.5000  4 Ga 3.00, 4 Au 3.00
Ga  0.2500  0.2500  0.2500  4 Be 3.00, 4 Sr 3.00
Au  0.2500  0.2500  0.7500  4 Be 3.00, 4 Sr 3.00

---

Arrangement ii

First-principles (PBE) data for SrBeGaAu after structural relaxation, as listed in the Open Quantum Materials Database.

Cell lengths 6.7668, 6.7668, 6.7668 Å; angles 90.00, 90.00, 90.00 degrees
Closest atoms and distances in Å follow each position.
Space group F-43m (No. 216)
Asymmetric unit:
Sr  0.0000  0.0000  0.0000  4 Be 2.93, 4 Ga 2.93
Be  0.2500  0.2500  0.7500  4 Sr 2.93, 4 Au 2.93
Ga  0.2500  0.2500  0.2500  4 Sr 2.93, 4 Au 2.93
Au  0.0000  0.0000  0.5000  4 Be 2.93, 4 Ga 2.93

---

Stability ranking, top and bottom: arrangement ii is the most stable and arrangement i is the least stable.

---

Arrangement i

First-principles (PBE) data for RbBeGeAu after structural relaxation, as listed in the Open Quantum Materials Database.

Cell lengths 6.9417, 6.9417, 6.9417 Å; angles 90.00, 90.00, 90.00 degrees
Closest atoms and distances in Å follow each position.
Space group F-43m (No. 216)
Asymmetric unit:
Rb  0.0000  0.0000  0.0000  4 Ge 3.01, 4 Be 3.01
Be  0.2500  0.2500  0.7500  4 Rb 3.01, 4 Au 3.01
Ge  0.2500  0.2500  0.2500  4 Rb 3.01, 4 Au 3.01
Au  0.0000  0.0000  0.5000  4 Ge 3.01, 4 Be 3.01

---

Arrangement ii

First-principles (PBE) data for RbBeGeAu after structural relaxation, as listed in the Open Quantum Materials Database.

Cell lengths 7.0978, 7.0978, 7.0978 Å; angles 90.00, 90.00, 90.00 degrees
Closest atoms and distances in Å follow each position.
Space group F-43m (No. 216)
Asymmetric unit:
Rb  0.0000  0.0000  0.0000  4 Ge 3.07, 4 Au 3.07
Be  0.0000  0.0000  0.5000  4 Au 3.07, 4 Ge 3.07
Ge  0.2500  0.2500  0.2500  4 Be 3.07, 4 Rb 3.07
Au  0.2500  0.2500  0.7500  4 Be 3.07, 4 Rb 3.07

---

Stability ranking, top and bottom: arrangement i is the most stable and arrangement ii is the least stable.

---

Arrangement i

First-principles (PBE) data for HfBeAu after structural relaxation, as listed in the Open Quantum Materials Database.

Cell lengths 6.2051, 6.2051, 6.2051 Å; angles 90.00, 90.00, 90.00 degrees
Closest atoms and distances in Å follow each position.
Space group F-43m (No. 216)
Asymmetric unit:
Hf  0.0000  0.0000  0.0000  4 Au 2.69, 4 Be 2.69
Be  0.2500  0.2500  0.2500  4 Hf 2.69
Au  0.2500  0.2500  0.7500  4 Hf 2.69

total magnetic moment: 0.0006 μB/atom

---

Arrangement ii

First-principles (PBE) data for HfBeAu after structural relaxation, as listed in the Open Quantum Materials Database.

Cell lengths 5.8722, 5.8722, 5.8722 Å; angles 90.00, 90.00, 90.00 degrees
Closest atoms and distances in Å follow each position.
Space group F-43m (No. 216)
Asymmetric unit:
Hf  0.0000  0.0000  0.0000  4 Be 2.54
Be  0.2500  0.2500  0.7500  4 Hf 2.54, 4 Au 2.54
Au  0.0000  0.0000  0.5000  4 Be 2.54

total magnetic moment: 0.0005 μB/atom

---

Stability ranking, top and bottom: arrangement ii is the most stable and arrangement i is the least stable.

---

Arrangement i

First-principles (PBE) data for RbHfBeAu after structural relaxation, as listed in the Open Quantum Materials Database.

Cell lengths 7.1383, 7.1383, 7.1383 Å; angles 90.00, 90.00, 90.00 degrees
Closest atoms and distances in Å follow each position.
Space group F-43m (No. 216)
Asymmetric unit:
Rb  0.0000  0.0000  0.0000  4 Be 3.09, 4 Au 3.09
Hf  0.0000  0.0000  0.5000  4 Au 3.09, 4 Be 3.09
Be  0.2500  0.2500  0.2500  4 Hf 3.09, 4 Rb 3.09
Au  0.2500  0.2500  0.7500  4 Rb 3.09, 4 Hf 3.09

total magnetic moment: 0.0004 μB/atom

---

Arrangement ii

First-principles (PBE) data for RbHfBeAu after structural relaxation, as listed in the Open Quantum Materials Database.

Cell lengths 6.7997, 6.7997, 6.7997 Å; angles 90.00, 90.00, 90.00 degrees
Closest atoms and distances in Å follow each position.
Space group F-43m (No. 216)
Asymmetric unit:
Rb  0.0000  0.0000  0.0000  4 Hf 2.94, 4 Be 2.94
Hf  0.2500  0.2500  0.2500  4 Rb 2.94, 4 Au 2.94
Be  0.2500  0.2500  0.7500  4 Rb 2.94, 4 Au 2.94
Au  0.0000  0.0000  0.5000  4 Be 2.94, 4 Hf 2.94

total magnetic moment: 0.0003 μB/atom

---

Stability ranking, top and bottom: arrangement ii is the most stable and arrangement i is the least stable.

---

Arrangement i

First-principles (PBE) data for SrBeInAu after structural relaxation, as listed in the Open Quantum Materials Database.

Cell lengths 7.1084, 7.1084, 7.1084 Å; angles 90.00, 90.00, 90.00 degrees
Closest atoms and distances in Å follow each position.
Space group F-43m (No. 216)
Asymmetric unit:
Sr  0.0000  0.0000  0.0000  4 In 3.08, 4 Au 3.08
Be  0.0000  0.0000  0.5000  4 In 3.08, 4 Au 3.08
In  0.2500  0.2500  0.2500  4 Be 3.08, 4 Sr 3.08
Au  0.2500  0.2500  0.7500  4 Be 3.08, 4 Sr 3.08

---

Arrangement ii

First-principles (PBE) data for SrBeInAu after structural relaxation, as listed in the Open Quantum Materials Database.

Cell lengths 7.0781, 7.0781, 7.0781 Å; angles 90.00, 90.00, 90.00 degrees
Closest atoms and distances in Å follow each position.
Space group F-43m (No. 216)
Asymmetric unit:
Sr  0.0000  0.0000  0.0000  4 Be 3.06, 4 Au 3.06
Be  0.2500  0.2500  0.2500  4 In 3.06, 4 Sr 3.06
In  0.0000  0.0000  0.5000  4 Au 3.06, 4 Be 3.06
Au  0.2500  0.2500  0.7500  4 In 3.06, 4 Sr 3.06

---

Stability ranking, top and bottom: arrangement ii is the most stable and arrangement i is the least stable.

---

Arrangement i

First-principles (PBE) data for BeZnInAu after structural relaxation, as listed in the Open Quantum Materials Database.

Cell lengths 6.4066, 6.4066, 6.4066 Å; angles 90.00, 90.00, 90.00 degrees
Closest atoms and distances in Å follow each position.
Space group F-43m (No. 216)
Asymmetric unit:
Be  0.0000  0.0000  0.0000  4 In 2.77, 4 Au 2.77
Zn  0.0000  0.0000  0.5000  4 In 2.77, 4 Au 2.77
In  0.2500  0.2500  0.7500  4 Be 2.77, 4 Zn 2.77
Au  0.2500  0.2500  0.2500  4 Be 2.77, 4 Zn 2.77

---

Arrangement ii

First-principles (PBE) data for BeZnInAu after structural relaxation, as listed in the Open Quantum Materials Database.

Cell lengths 6.4552, 6.4552, 6.4552 Å; angles 90.00, 90.00, 90.00 degrees
Closest atoms and distances in Å follow each position.
Space group F-43m (No. 216)
Asymmetric unit:
Be  0.0000  0.0000  0.0000  4 Zn 2.80, 4 Au 2.80
Zn  0.2500  0.2500  0.2500  4 In 2.80, 4 Be 2.80
In  0.0000  0.0000  0.5000  4 Au 2.80, 4 Zn 2.80
Au  0.2500  0.2500  0.7500  4 In 2.80, 4 Be 2.80

---

Stability ranking, top and bottom: arrangement i is the most stable and arrangement ii is the least stable.

---

Arrangement i

First-principles (PBE) data for KBeSiAu after structural relaxation, as listed in the Open Quantum Materials Database.

Cell lengths 6.7712, 6.7712, 6.7712 Å; angles 90.00, 90.00, 90.00 degrees
Closest atoms and distances in Å follow each position.
Space group F-43m (No. 216)
Asymmetric unit:
K  0.0000  0.0000  0.0000  4 Au 2.93, 4 Si 2.93
Be  0.0000  0.0000  0.5000  4 Si 2.93, 4 Au 2.93
Si  0.2500  0.2500  0.2500  4 K 2.93, 4 Be 2.93
Au  0.2500  0.2500  0.7500  4 K 2.93, 4 Be 2.93

---

Arrangement ii

First-principles (PBE) data for KBeSiAu after structural relaxation, as listed in the Open Quantum Materials Database.

Cell lengths 6.5915, 6.5915, 6.5915 Å; angles 90.00, 90.00, 90.00 degrees
Closest atoms and distances in Å follow each position.
Space group F-43m (No. 216)
Asymmetric unit:
K  0.0000  0.0000  0.0000  4 Be 2.85, 4 Si 2.85
Be  0.2500  0.2500  0.7500  4 K 2.85, 4 Au 2.85
Si  0.2500  0.2500  0.2500  4 K 2.85, 4 Au 2.85
Au  0.0000  0.0000  0.5000  4 Be 2.85, 4 Si 2.85

---

Stability ranking, top and bottom: arrangement ii is the most stable and arrangement i is the least stable.

---

Arrangement i

First-principles (PBE) data for KBeSnAu after structural relaxation, as listed in the Open Quantum Materials Database.

Cell lengths 7.0752, 7.0752, 7.0752 Å; angles 90.00, 90.00, 90.00 degrees
Closest atoms and distances in Å follow each position.
Space group F-43m (No. 216)
Asymmetric unit:
K  0.0000  0.0000  0.0000  4 Sn 3.06, 4 Au 3.06
Be  0.0000  0.0000  0.5000  4 Sn 3.06, 4 Au 3.06
Sn  0.2500  0.2500  0.2500  4 K 3.06, 4 Be 3.06
Au  0.2500  0.2500  0.7500  4 K 3.06, 4 Be 3.06

---

Arrangement ii

First-principles (PBE) data for KBeSnAu after structural relaxation, as listed in the Open Quantum Materials Database.

Cell lengths 7.0878, 7.0878, 7.0878 Å; angles 90.00, 90.00, 90.00 degrees
Closest atoms and distances in Å follow each position.
Space group F-43m (No. 216)
Asymmetric unit:
K  0.0000  0.0000  0.0000  4 Be 3.07, 4 Au 3.07
Be  0.2500  0.2500  0.2500  4 Sn 3.07, 4 K 3.07
Sn  0.0000  0.0000  0.5000  4 Be 3.07, 4 Au 3.07
Au  0.2500  0.2500  0.7500  4 Sn 3.07, 4 K 3.07

---

Stability ranking, top and bottom: arrangement ii is the most stable and arrangement i is the least stable.